! GGA-PBE Mg3IrN, optimized geometry; values from VASP
&SYSTEM
  ibrav = 0, nat = 5, ntyp = 3
/
ATOMIC_SPECIES
Ir 192.22 Ir.upf
Mg 24.30 Mg.upf
N 14.01 N.upf
ATOMIC_POSITIONS crystal
Ir 0.0000 0.0000 0.0000
Mg 0.5000 0.0000 0.5000
N 0.5000 0.5000 0.5000
Mg 0.0000 0.5000 0.5000
Mg 0.5000 0.5000 0.0000
CELL_PARAMETERS angstrom
-0.6612 4.0122 0.8683
-2.5465 -1.0907 3.1008
3.2198 -0.0387 2.6307
! Crystal system: cubic
! SG: No. 221
! Final energy, eV per atom: -4.70
! Spin magnetization, μB/f.u.: 0.0